The following is a DFT calculation (PBE+U) of a relaxed structure of AcV2GaO8.

Calculated values
ρ   4.80 Mg/m³
E_tot   -7.396 eV per atom

```
data_AcV2GaO8
_cell_length_a 5.5465
_cell_length_b 5.5465
_cell_length_c 6.8359
_cell_angle_alpha 90.00
_cell_angle_beta 90.00
_cell_angle_gamma 120.00
_space_group_name_H-M_alt 'P -3'
_space_group_IT_number 147
loop_
_space_group_symop_operation_xyz
'x,y,z'
'-x,-y,-z'
'-y,x-y,z'
'y,-x+y,-z'
'-x+y,-x,z'
'x-y,x,-z'
loop_
_atom_site_label
_atom_site_type_symbol
_atom_site_fract_x
_atom_site_fract_y
_atom_site_fract_z
Ac1 Ac 0.0000 0.0000 0.0000
V1 V 0.3333 0.6667 0.7541
Ga1 Ga 0.0000 0.0000 0.5000
O1 O 0.1542 0.3157 0.6857
O2 O 0.3333 0.6667 0.0020
```